Entry 1:
# K2TlTc (GGA-PBE, relaxed)
data_K2TlTc
_cell_length_a 4.324
_cell_length_b 4.324
_cell_length_c 24.544
_cell_angle_alpha 90.00
_cell_angle_beta 90.00
_cell_angle_gamma 90.00
_symmetry_space_group_name_H-M 'I -4 2 d'
_symmetry_Int_Tables_number 122
_symmetry_space_group_name_Hall 'I -4 2bw'
loop_
_atom_site_label
_atom_site_type_symbol
_atom_site_fract_x
_atom_site_fract_y
_atom_site_fract_z
_atom_site_occupancy
K1 K 0.248 0.250 0.125 1
Tl1 Tl 0.000 0.000 0.500 1
Tc1 Tc 0.000 0.000 0.000 1
# Calculated formation energy ... 1.05 eV/atom
# Uncorrected energy ... -2.68 eV per atom
# Energy above the most stable polymorph in this dataset ... 382 meV per atom

=====

Entry 2:
# LiIn3 (GGA-PBE, relaxed)
data_LiIn3
_cell_length_a 6.352
_cell_length_b 15.772
_cell_length_c 5.694
_cell_angle_alpha 90.00
_cell_angle_beta 90.00
_cell_angle_gamma 90.00
_symmetry_space_group_name_H-M 'P m m n'
_symmetry_Int_Tables_number 59
loop_
_symmetry_equiv_pos_as_xyz
'x,y,z'
'-x,-y,-z'
'-x+1/2,-y+1/2,z'
'x+1/2,y+1/2,-z'
'x+1/2,-y,-z'
'-x+1/2,y,z'
'-x,y+1/2,-z'
'x,-y+1/2,z'
loop_
_atom_site_label
_atom_site_type_symbol
_atom_site_fract_x
_atom_site_fract_y
_atom_site_fract_z
_atom_site_occupancy
Li1 Li 0.250 0.082 0.154 1
Li2 Li 0.250 0.750 0.526 1
In1 In 0.000 0.086 0.656 1
In2 In 0.001 0.750 0.020 1
In3 In 0.250 0.250 0.465 1
In4 In 0.250 0.581 0.842 1
# Calculated formation energy ... -0.13 eV/atom
# Uncorrected energy ... -2.66 eV per atom

=====

Entry 3:
# DyUN2 (GGA-PBE, relaxed)
data_DyUN2
_cell_length_a 3.4408
_cell_length_b 3.4408
_cell_length_c 17.0683
_cell_angle_alpha 90.00
_cell_angle_beta 90.00
_cell_angle_gamma 120.00
_symmetry_space_group_name_H-M 'R -3 m'
_symmetry_Int_Tables_number 166
_symmetry_space_group_name_Hall '-R 3 2"'
loop_
_atom_site_label
_atom_site_type_symbol
_atom_site_fract_x
_atom_site_fract_y
_atom_site_fract_z
_atom_site_occupancy
Dy1 Dy 0.0000 0.0000 0.0000 1
U1 U 0.0000 0.0000 0.5000 1
N1 N 0.0000 0.0000 0.2457 1
# Uncorrected energy ... -9.64 eV per atom
# Formation energy from raw total energies ... -1.50 eV/atom

=====

Entry 4:
# TaOsPb (GGA-PBE, relaxed)
data_TaOsPb
_cell_length_a 4.6164
_cell_length_b 4.6164
_cell_length_c 3.0057
_cell_angle_alpha 90.00
_cell_angle_beta 90.00
_cell_angle_gamma 120.00
_symmetry_space_group_name_H-M 'P -6 m 2'
_symmetry_Int_Tables_number 187
_symmetry_space_group_name_Hall 'P -6 2'
loop_
_atom_site_label
_atom_site_type_symbol
_atom_site_fract_x
_atom_site_fract_y
_atom_site_fract_z
_atom_site_occupancy
Ta1 Ta 0.0000 0.0000 0.0000 1
Os1 Os 0.6667 0.3333 0.5000 1
Pb1 Pb 0.3333 0.6667 0.5000 1
# Calculated formation energy ... 0.57 eV/atom
# Uncorrected energy ... -8.36 eV per atom
# Energy above the most stable polymorph in this dataset ... 212 meV per atom

=====

Entry 5:
# Sm2PaI (GGA-PBE, relaxed)
data_Sm2PaI
_cell_length_a 3.4797
_cell_length_b 3.4797
_cell_length_c 35.0657
_cell_angle_alpha 90.00
_cell_angle_beta 90.00
_cell_angle_gamma 120.00
_symmetry_space_group_name_H-M 'R -3 m'
_symmetry_Int_Tables_number 166
_symmetry_space_group_name_Hall '-R 3 2"'
loop_
_atom_site_label
_atom_site_type_symbol
_atom_site_fract_x
_atom_site_fract_y
_atom_site_fract_z
_atom_site_occupancy
Sm1 Sm 0.0000 0.0000 0.0936 1
Pa1 Pa 0.0000 0.0000 0.0000 1
I1 I 0.0000 0.0000 0.5000 1
# Uncorrected energy ... -5.01 eV per atom
# Formation energy from raw total energies ... 0.11 eV/atom

=====

Entry 6:
# RbYBe2 (GGA-PBE, relaxed)
data_RbYBe2
_cell_length_a 7.323
_cell_length_b 7.323
_cell_length_c 7.323
_cell_angle_alpha 90.00
_cell_angle_beta 90.00
_cell_angle_gamma 90.00
_symmetry_space_group_name_H-M 'F m -3 m'
_symmetry_Int_Tables_number 225
_symmetry_space_group_name_Hall '-F 4 2 3'
loop_
_atom_site_label
_atom_site_type_symbol
_atom_site_fract_x
_atom_site_fract_y
_atom_site_fract_z
_atom_site_occupancy
Rb1 Rb 0.000 0.000 0.000 1
Y1 Y 0.000 0.000 0.500 1
Be1 Be 0.250 0.250 0.250 1
# Calculated formation energy ... 1.01 eV/atom
# Uncorrected energy ... -2.71 eV per atom
# Energy above the most stable polymorph in this dataset ... 0 meV per atom

=====

Entry 7:
# BH2Rh2 (GGA-PBE, relaxed)
data_BH2Rh2
_cell_length_a 2.764
_cell_length_b 2.764
_cell_length_c 10.512
_cell_angle_alpha 90.00
_cell_angle_beta 90.00
_cell_angle_gamma 90.00
_symmetry_space_group_name_H-M 'I 4/m m m'
_symmetry_Int_Tables_number 139
_symmetry_space_group_name_Hall '-I 4 2'
loop_
_atom_site_label
_atom_site_type_symbol
_atom_site_fract_x
_atom_site_fract_y
_atom_site_fract_z
_atom_site_occupancy
B1 B 0.000 0.000 0.000 1
H1 H 0.000 0.500 0.250 1
Rh1 Rh 0.000 0.000 0.375 1
# Uncorrected energy ... -5.62 eV per atom
# Energy above the most stable polymorph in this dataset ... 31 meV per atom

=====

Entry 8:
# K2ScTa (GGA-PBE, relaxed)
data_K2ScTa
_cell_length_a 9.662
_cell_length_b 9.662
_cell_length_c 5.684
_cell_angle_alpha 90.00
_cell_angle_beta 90.00
_cell_angle_gamma 90.00
_symmetry_space_group_name_H-M 'I -4 2 d'
_symmetry_Int_Tables_number 122
_symmetry_space_group_name_Hall 'I -4 2bw'
loop_
_atom_site_label
_atom_site_type_symbol
_atom_site_fract_x
_atom_site_fract_y
_atom_site_fract_z
_atom_site_occupancy
K1 K 0.235 0.250 0.125 1
Sc1 Sc 0.000 0.000 0.500 1
Ta1 Ta 0.000 0.000 0.000 1
# Calculated formation energy ... 1.68 eV/atom
# Uncorrected energy ... -3.41 eV per atom
# Energy above the most stable polymorph in this dataset ... 1027 meV per atom

=====

Entry 9:
# Cd8Pt3Au2 (GGA-PBE, relaxed)
data_Cd8Pt3Au2
_cell_length_a 9.209
_cell_length_b 13.161
_cell_length_c 4.612
_cell_angle_alpha 90.00
_cell_angle_beta 90.00
_cell_angle_gamma 90.00
_symmetry_space_group_name_H-M 'C m m m'
_symmetry_Int_Tables_number 65
_symmetry_space_group_name_Hall '-C 2 2'
loop_
_atom_site_label
_atom_site_type_symbol
_atom_site_fract_x
_atom_site_fract_y
_atom_site_fract_z
_atom_site_occupancy
Cd1 Cd 0.000 0.115 0.000 1
Cd2 Cd 0.000 0.370 0.000 1
Cd3 Cd 0.241 0.122 0.500 1
Pt1 Pt 0.000 0.500 0.500 1
Pt2 Pt 0.241 0.500 0.000 1
Au1 Au 0.000 0.250 0.500 1
# Calculated formation energy ... -0.21 eV/atom
# Uncorrected energy ... -2.68 eV per atom

=====

Entry 10:
# TaV3Pd (GGA-PBE, relaxed)
data_TaV3Pd
_cell_length_a 4.543
_cell_length_b 4.543
_cell_length_c 4.543
_cell_angle_alpha 90.00
_cell_angle_beta 90.00
_cell_angle_gamma 90.00
_symmetry_space_group_name_H-M 'P m -3 m'
_symmetry_Int_Tables_number 221
_symmetry_space_group_name_Hall '-P 4 2 3'
loop_
_atom_site_label
_atom_site_type_symbol
_atom_site_fract_x
_atom_site_fract_y
_atom_site_fract_z
_atom_site_occupancy
Ta1 Ta 0.000 0.000 0.000 1
V1 V 0.000 0.500 0.500 1
Pd1 Pd 0.500 0.500 0.500 1
# Calculated formation energy ... 1.38 eV/atom
# Uncorrected energy ... -7.50 eV per atom
# Energy above the most stable polymorph in this dataset ... 0 meV per atom

=====

Entry 11:
# K4Pu3SbO12 (GGA-PBE, relaxed)
data_K4Pu3SbO12
_cell_length_a 8.454
_cell_length_b 8.454
_cell_length_c 8.454
_cell_angle_alpha 90.00
_cell_angle_beta 90.00
_cell_angle_gamma 90.00
_symmetry_space_group_name_H-M 'I m -3 m'
_symmetry_Int_Tables_number 229
_symmetry_space_group_name_Hall '-I 4 2 3'
loop_
_atom_site_label
_atom_site_type_symbol
_atom_site_fract_x
_atom_site_fract_y
_atom_site_fract_z
_atom_site_occupancy
K1 K 0.250 0.250 0.250 1
Pu1 Pu 0.000 0.000 0.500 1
Sb1 Sb 0.000 0.000 0.000 1
O1 O 0.000 0.000 0.243 1
O2 O 0.000 0.250 0.500 1
# Uncorrected energy ... -7.87 eV per atom
# Formation energy from raw total energies ... -2.32 eV/atom

=====

Entry 12:
# PaSi2O6F2 (GGA-PBE, relaxed)
data_PaSi2O6F2
_cell_length_a 5.8161
_cell_length_b 5.8161
_cell_length_c 6.1119
_cell_angle_alpha 90.00
_cell_angle_beta 90.00
_cell_angle_gamma 120.00
_symmetry_space_group_name_H-M 'P -3 m 1'
_symmetry_Int_Tables_number 164
_symmetry_space_group_name_Hall '-P 3 2"'
loop_
_atom_site_label
_atom_site_type_symbol
_atom_site_fract_x
_atom_site_fract_y
_atom_site_fract_z
_atom_site_occupancy
Pa1 Pa 0.0000 0.0000 0.0000 1
Si1 Si 0.3333 0.6667 0.7206 1
O1 O 0.1801 0.3601 0.8054 1
F1 F 0.3333 0.6667 0.4577 1
# Uncorrected energy ... -7.78 eV per atom
# Formation energy from raw total energies ... -2.88 eV/atom

=====

- uncorrected energy of number 8 (K2ScTa)?
  -3.41 eV per atom